[1]
The following is a DFT calculation (meta-GGA SCAN) of a crystal of Al2TcIr relaxed with PBEsol.

Properties
formation energy	-0.85	eV/atom
energy relative to the lowest polymorph listed for this composition	6	meV per atom

abc: 4.3110 4.3110 2.9110
angles: 90.00 90.00 90.00
Closest atoms and distances in Å follow each position.
Space group P4/mmm (No. 123)
Unique sites:
Al 0.0000 0.5000 0.0000 (multiplicity 2)  4 Ir 2.60, 4 Tc 2.60, 2 Al 2.91
Tc 0.0000 0.0000 0.5000 (multiplicity 1)  8 Al 2.60, 2 Tc 2.91
Ir 0.5000 0.5000 0.5000 (multiplicity 1)  8 Al 2.60, 2 Ir 2.91

[2]
The following is a DFT calculation (meta-GGA SCAN) of a crystal of Al2TcIr relaxed with PBEsol.

Properties
formation energy	-0.85	eV/atom
energy relative to the lowest polymorph listed for this composition	0	meV per atom

abc: 5.9997 5.9997 5.9997
angles: 90.00 90.00 90.00
Closest atoms and distances in Å follow each position.
Space group Fm-3m (No. 225)
Unique sites:
Al 0.2500 0.2500 0.2500 (multiplicity 8)  4 Tc 2.60, 4 Ir 2.60
Tc 0.0000 0.0000 0.0000 (multiplicity 4)  8 Al 2.60
Ir 0.0000 0.0000 0.5000 (multiplicity 4)  8 Al 2.60

[3]
The following is a DFT calculation (meta-GGA SCAN) of a crystal of Al2TcIr relaxed with PBEsol.

Properties
formation energy	-0.57	eV/atom
energy relative to the lowest polymorph listed for this composition	282	meV per atom

abc: 8.2610 2.7608 5.0108
angles: 90.00 99.87 90.00
Closest atoms and distances in Å follow each position.
Space group C2/m (No. 12)
Unique sites:
Al 0.2471 0.0000 0.2446 (multiplicity 4)  3 Tc 2.59-2.64, 3 Ir 2.59-2.60, 4 Al 2.76-2.82
Tc 0.0000 0.0000 0.5000 (multiplicity 2)  6 Al 2.59-2.64, 2 Tc 2.76, 4 Ir 2.86
Ir 0.0000 0.5000 0.0000 (multiplicity 2)  6 Al 2.59-2.60, 2 Ir 2.76, 4 Tc 2.86

[4]
The following is a DFT calculation (meta-GGA SCAN) of a crystal of AlTeIr2 relaxed with PBEsol.

Properties
energy relative to the lowest polymorph listed for this composition	0	meV per atom
raw formation energy	-60	meV per atom

abc: 2.9805 2.9805 25.1703
angles: 90.00 90.00 120.00
Closest atoms and distances in Å follow each position.
Space group R-3m (No. 166, hexagonal axes)
Unique sites:
Al 0.0000 0.0000 0.0000 (multiplicity 3)  6 Ir 2.58
Te 0.0000 0.0000 0.5000 (multiplicity 3)  6 Ir 2.85, 6 Te 2.98
Ir 0.0000 0.0000 0.2568 (multiplicity 6)  3 Al 2.58, 3 Te 2.85